[1]
ErSiRu2 | PBE-GGA | optimized geometry

Summary:
For the magnetic moment, the calculation gives 0.0 μB per formula unit. The calculation puts the total DFT energy (no corrections) at -30.5 eV per cell. As for the formation energy from raw total energies: -1.938 eV/f.u. Its symmetry is P4/mmm (123).

The structure in extended XYZ format:
```
4
Lattice="-0.259 -2.654 -1.651 2.399 0.893 -1.812 4.099 -2.890 4.003" Properties=species:S:1:pos:R:3 pbc="T T T"
Ru 3.233 -2.279 3.157
Ru 0.867 -0.611 0.846
Si 1.070 -0.880 -1.731
Er 3.120 -2.325 0.270
```

[2]
Ac8Co3H | PBE-GGA | optimized geometry

Summary:
For the magnetic moment, the calculation gives 0.0 μB per formula unit. The calculation puts the total DFT energy (no corrections) at -58.4 eV per cell. Its symmetry is C2/m (12).

The structure in extended XYZ format:
```
12
Lattice="-0.101 7.618 -3.538 2.308 -6.698 -4.516 -7.878 0.975 2.325" Properties=species:S:1:pos:R:3 pbc="T T T"
Ac -4.894 -0.729 -1.431
Ac -0.777 2.625 -4.297
Ac -6.033 2.644 0.798
Ac -6.083 6.391 -0.942
Ac -4.945 3.101 -3.155
Ac -0.725 -1.204 -2.573
Ac 0.412 -4.495 -4.786
Ac 0.363 -0.748 -6.526
Co -0.050 3.809 -1.769
Co 1.104 0.460 -4.027
Co 1.154 -3.349 -2.258
H 0.000 0.000 0.000
```

[3]
BaZrP2 | PBE-GGA | optimized geometry

Summary:
The value obtained for the formation energy from the elements is -554 meV/atom. For the magnetic moment, the calculation gives 0.0 μB per formula unit. The calculation puts the total DFT energy (no corrections) at -23.5 eV per cell. Its symmetry is Immm (71). For the energy above the most stable polymorph in this dataset, the calculation gives 563.1 meV/atom.

The structure in extended XYZ format:
```
4
Lattice="-1.956 3.761 -3.577 -1.137 -3.824 -3.853 -1.805 1.223 5.100" Properties=species:S:1:pos:R:3 pbc="T T T"
Ba -2.244 -1.316 -1.234
P -2.953 -0.061 -7.094
P -1.686 -0.035 -4.051
Zr -2.654 2.476 -1.096
```

[4]
VSnCl2 | PBE-GGA | optimized geometry

Summary:
For the magnetic moment, the calculation gives 2.8 μB per formula unit. The calculation puts the total DFT energy (no corrections) at -34.3 eV per cell. As for the formation energy from raw total energies: -0.321 eV/f.u. Its symmetry is I-42d (122). For the energy above the most stable polymorph in this dataset, the calculation gives 560.4 meV/atom.

The structure in extended XYZ format:
```
8
Lattice="-3.290 -5.719 1.293 5.709 -3.462 -0.785 2.255 -4.030 5.391" Properties=species:S:1:pos:R:3 pbc="T T T"
V 1.210 -4.590 0.254
V 4.587 -6.041 2.430
Sn 0.000 0.000 0.000
Sn 0.088 -7.169 3.469
Cl -0.427 -4.403 1.920
Cl 3.369 -4.497 1.157
Cl 3.209 -6.835 4.150
Cl 3.199 -10.686 4.572
```

> Which value of total DFT energy (no corrections) does entry 1 give?

-30.5 eV per cell